# 1
CeEuRu: optimized geometry, PBE-GGA.

a = 3.595 Å, b = 4.728 Å, c = 4.728 Å
α = 120.00°, β = 90.00°, γ = 90.00°
Site moments in Bohr magnetons follow the coordinates.
Sites, in units of the cell vectors:
Eu: 0.649 0.333 0.667  6.83
Ru: 0.282 0.667 0.333  -0.17
Ce: 0.069 0.000 0.000  0.59

Computed properties:
DFT formation energy: 51.3 meV per atom
Crystal system: trigonal

# 2
CeEu2Sb: optimized geometry, PBE-GGA.

a = 4.969 Å, b = 4.963 Å, c = 4.963 Å
α = 90.00°, β = 90.00°, γ = 90.00°
Site moments in Bohr magnetons follow the coordinates.
Sites, in units of the cell vectors:
Ce: 0.500 0.000 0.000  1.26
Eu: 0.000 0.000 0.500  7.04
Eu: 0.000 0.500 0.000  7.04
Sb: 0.500 0.500 0.500  -0.08

Computed properties:
Crystal system: tetragonal
Formation energy from raw total energies: -45.74 kJ/mol of atoms

# 3
CeEuSb2: optimized geometry, PBE-GGA.

a = 3.896 Å, b = 3.896 Å, c = 7.852 Å
α = 90.00°, β = 90.00°, γ = 90.00°
Site moments in Bohr magnetons follow the coordinates.
Sites, in units of the cell vectors:
Eu: 0.500 0.500 0.500  6.82
Sb: 0.000 0.000 0.761  -0.03
Sb: 0.000 0.000 0.239  -0.03
Ce: 0.500 0.500 0.000  -0.77

Computed properties:
Crystal system: tetragonal
Formation energy from raw total energies: -83.18 kJ/mol of atoms

# 4
CeEuSb2: optimized geometry, PBE-GGA.

a = 5.508 Å, b = 5.508 Å, c = 5.508 Å
α = 60.00°, β = 60.00°, γ = 60.00°
Site moments in Bohr magnetons follow the coordinates.
Sites, in units of the cell vectors:
Eu: 0.000 0.000 0.000  6.78
Sb: 0.750 0.750 0.750  -0.07
Sb: 0.250 0.250 0.250  -0.07
Ce: 0.500 0.500 0.500  0.46

Computed properties:
Crystal system: cubic
Formation energy from raw total energies: -82.05 kJ/mol of atoms

The calculation returns the following D(E_F) values, one per record and in order: 1.5368; 2.0746; 1.6036; 1.6231 states/eV/atom.
The calculation returns the following M_tot values, one per record and in order: 7.7; 16.6; 6.0; 7.2 μB per formula unit.